Compound: Ce4S4Cl2O
Source: the Alexandria database
Functional: PBE
Structure: optimized geometry

Values from the calculation:
**SG**: No. 36
**Uncorrected formation energy**: -24.95 eV/f.u.
**Total DFT energy (no corrections)**: -6.71 eV per atom

Cell: 9.274 9.274 6.935 Å, 90.00 90.00 121.28°
Fractional positions:
Ce 0.107 0.309 0.468
Ce 0.184 0.816 0.500
Ce 0.304 0.696 0.947
Ce 0.309 0.107 0.968
Ce 0.691 0.893 0.468
Ce 0.696 0.304 0.447
Ce 0.816 0.184 0.000
Ce 0.893 0.691 0.968
S 0.031 0.551 0.232
S 0.042 0.958 0.252
S 0.368 0.632 0.572
S 0.449 0.969 0.232
S 0.551 0.031 0.732
S 0.632 0.368 0.072
S 0.958 0.042 0.752
S 0.969 0.449 0.732
Cl 0.236 0.367 0.073
Cl 0.367 0.236 0.573
Cl 0.633 0.764 0.073
Cl 0.764 0.633 0.573
O 0.165 0.835 0.846
O 0.835 0.165 0.346